# 1
A plane-wave DFT calculation with PBE was carried out for Np2Zn16In after structural relaxation.

a b c (Å): 6.864 6.864 6.864
angles (deg): 83.02 83.02 83.02
Fractional coordinates of all 19 atoms:
Np 0.000 0.000 0.000
Np 0.322 0.322 0.322
Zn 0.015 0.015 0.491
Zn 0.015 0.491 0.015
Zn 0.170 0.654 0.654
Zn 0.308 0.308 0.822
Zn 0.308 0.822 0.308
Zn 0.355 0.660 0.963
Zn 0.355 0.963 0.660
Zn 0.491 0.015 0.015
Zn 0.552 0.552 0.552
Zn 0.654 0.170 0.654
Zn 0.654 0.654 0.170
Zn 0.660 0.355 0.963
Zn 0.660 0.963 0.355
Zn 0.822 0.308 0.308
Zn 0.963 0.355 0.660
Zn 0.963 0.660 0.355
In 0.759 0.759 0.759

Output
space-group type	R3m
formation energy	-0.046	eV/atom

# 2
A plane-wave DFT calculation with PBE was carried out for La3TbPb2 after structural relaxation.

a b c (Å): 5.028 16.704 4.612
angles (deg): 90.00 90.00 90.00
Fractional coordinates of all 12 atoms:
La 0.000 0.000 0.000
La 0.000 0.320 0.000
La 0.000 0.680 0.000
La 0.500 0.180 0.000
La 0.500 0.500 0.000
La 0.500 0.820 0.000
Tb 0.000 0.500 0.500
Tb 0.500 0.000 0.500
Pb 0.000 0.147 0.500
Pb 0.000 0.853 0.500
Pb 0.500 0.353 0.500
Pb 0.500 0.647 0.500

Output
energy above the most stable polymorph in this dataset	19	meV/atom
space-group type	Cmmm
formation energy	-0.441	eV/atom

# 3
A plane-wave DFT calculation with PBE was carried out for La2TlPd4 after structural relaxation.

a b c (Å): 5.103 5.103 14.521
angles (deg): 90.00 90.00 90.00
Fractional coordinates of all 14 atoms:
La 0.000 0.000 0.132
La 0.000 0.000 0.868
La 0.500 0.500 0.368
La 0.500 0.500 0.632
Tl 0.000 0.000 0.500
Tl 0.500 0.500 0.000
Pd 0.000 0.000 0.310
Pd 0.000 0.000 0.690
Pd 0.000 0.500 0.000
Pd 0.000 0.500 0.500
Pd 0.500 0.000 0.000
Pd 0.500 0.000 0.500
Pd 0.500 0.500 0.190
Pd 0.500 0.500 0.810

Output
space-group type	I4/mmm
formation energy	-0.214	eV/atom

# 4
A plane-wave DFT calculation with PBE was carried out for CuTc2IrCl after structural relaxation.

a b c (Å): 4.764 4.764 4.075
angles (deg): 90.00 90.00 90.00
Fractional coordinates of all 5 atoms:
Cu 0.000 0.000 0.000
Tc 0.000 0.500 0.000
Tc 0.500 0.000 0.000
Ir 0.500 0.500 0.500
Cl 0.000 0.000 0.500

Output
raw formation energy	1.89	eV per atom
space-group type	P4/mmm

# 5
A plane-wave DFT calculation with PBE was carried out for K2BaPaS4 after structural relaxation.

a b c (Å): 7.675 4.288 7.793
angles (deg): 90.00 108.94 90.00
Fractional coordinates of all 8 atoms:
K 0.000 0.000 0.000
K 0.500 0.500 0.000
Ba 0.000 0.500 0.500
Pa 0.500 0.000 0.500
S 0.281 0.000 0.711
S 0.292 0.500 0.296
S 0.708 0.500 0.704
S 0.719 0.000 0.289

Output
raw formation energy	-1.63	eV per atom
space-group type	P2/m